Entry 1:
Pm6Y3Tl | the Alexandria database | GGA-PBE | relaxed; symmetry = No. 11; DOS(E_F) = 14.26 states/eV/f.u.; formation energy = 14 meV/atom; volume = 33.39 A^3/atom; energy above the lowest structure with this stoichiometry = 0.00 eV per formula unit
1.0
-2.061 2.971 -0.029
-6.080 -4.120 10.004
10.296 7.223 8.009
Pm Y Tl
12 6 2
Cartesian
1.341 4.282 5.019
-2.176 -0.320 8.984
2.793 3.119 8.161
0.171 1.254 3.553
-0.638 2.956 9.822
-3.090 1.209 5.208
4.330 6.395 9.000
-2.187 1.795 1.140
1.984 4.820 14.430
5.244 4.866 12.776
4.341 4.279 16.843
0.813 1.793 12.964
1.984 4.788 11.177
4.870 4.536 5.669
0.171 1.286 6.807
-2.715 1.539 12.314
-5.288 -0.259 11.023
7.443 6.333 6.960
-5.132 -0.187 7.348
7.287 6.262 10.635

***

Entry 2:
PmY2Tl2Zn2 | the Alexandria database | GGA-PBE | relaxed; symmetry = No. 166; DOS(E_F) = 3.52 states/eV/f.u.; formation energy = -191 meV/atom; volume = 26.02 A^3/atom
1.0
4.747 0.000 0.000
2.373 4.111 0.000
2.373 1.370 9.334
Zn Y Pm Tl
2 2 1 2
Cartesian
4.747 2.741 1.753
4.747 2.741 7.581
7.120 4.111 3.566
2.373 1.370 5.768
0.000 0.000 0.000
7.120 4.111 7.251
2.373 1.370 2.083